A plane-wave DFT calculation with PBE with a Hubbard U was carried out for crystalline WSCl2O at its relaxed geometry.

abc: 4.7695 4.7695 4.6299
angles: 90.00 90.00 90.00
Fractional positions:
W 0.0000 0.0000 0.0000
O 0.5000 0.5000 0.5000
S 0.0000 0.0000 0.5000
Cl 0.0000 0.5000 0.0000
Cl 0.5000 0.0000 0.0000

## Properties
- energy above the lowest structure with this stoichiometry (meV per atom) = 68
- M_tot (μB per formula unit) = 0.00